1.
Te3PbC | PBE | relaxed

Properties
As for the uncorrected formation energy: 763.4 meV/atom. For the energy above the most stable polymorph in this dataset, the calculation gives 0 meV/atom. Its symmetry is Pm-3m (221).

Lattice parameters (Å, degrees): 4.9519 4.9519 4.9519 90.00 90.00 90.00
Element x y z (fractional)
Te1 0.0000 0.0000 0.5000
Te2 0.0000 0.5000 0.0000
Te3 0.5000 0.0000 0.0000
Pb1 0.5000 0.5000 0.5000
C1 0.0000 0.0000 0.0000


2.
Pm4PIrSe2 | PBE | relaxed

Properties
As for the uncorrected formation energy: -1465.9 meV/atom. Its symmetry is P2/m (10).

Lattice parameters (Å, degrees): 7.2625 4.1302 7.3583 90.00 108.52 90.00
Element x y z (fractional)
Pm1 0.2403 0.0000 0.2283
Pm2 0.2524 0.5000 0.7718
Pm3 0.7476 0.5000 0.2282
Pm4 0.7597 0.0000 0.7717
P1 0.5000 0.0000 0.0000
Ir1 0.0000 0.5000 0.0000
Se1 0.0000 0.0000 0.5000
Se2 0.5000 0.5000 0.5000


3.
Sm5Zn4Ga | PBE | relaxed

Properties
Its formation energy is -0.36 eV/atom. Its symmetry is P4/mmm (123).

Lattice parameters (Å, degrees): 3.6351 3.6351 18.3170 90.00 90.00 90.00
Element x y z (fractional)
Sm1 0.0000 0.0000 0.0000
Sm2 0.0000 0.0000 0.1997
Sm3 0.0000 0.0000 0.3995
Sm4 0.0000 0.0000 0.6005
Sm5 0.0000 0.0000 0.8003
Zn1 0.5000 0.5000 0.1002
Zn2 0.5000 0.5000 0.2980
Zn3 0.5000 0.5000 0.7020
Zn4 0.5000 0.5000 0.8998
Ga1 0.5000 0.5000 0.5000